1.
The following is a GGA-PBE calculation of a geometry-optimized HfTi2Nb structure, from the Alexandria database.

**Energy relative to the lowest polymorph listed for this composition**: 0.016 eV per formula unit
**M_tot**: 0.000 μB per cell
**Crystal system**: monoclinic
**E**: -35.6 eV/f.u.
**Formation enthalpy at 0 K**: 49.1 meV/atom

Cell lengths 4.599, 5.529, 5.969 Å; angles 98.07, 90.00, 90.00 degrees
Sites, in units of the cell vectors:
Ti (0.750, 0.862, 0.001)
Ti (0.750, 0.844, 0.515)
Nb (0.250, 0.669, 0.709)
Nb (0.750, 0.331, 0.291)
Hf (0.250, 0.642, 0.205)
Ti (0.250, 0.156, 0.485)
Ti (0.250, 0.138, 0.999)
Hf (0.750, 0.358, 0.795)



2.
The following is a GGA-PBE calculation of a geometry-optimized Ni3Br structure, from the Alexandria database.

**Energy relative to the lowest polymorph listed for this composition**: 1.304 eV per formula unit
**M_tot**: 1.823 μB per cell
**Crystal system**: cubic
**E**: -16.5 eV/f.u.
**Energy relative to the elements, uncorrected**: 0.627 eV per atom

Cell lengths 3.744, 3.744, 3.744 Å; angles 90.00, 90.00, 90.00 degrees
Sites, in units of the cell vectors:
Ni (0.000, 0.500, 0.500)
Ni (0.500, 0.000, 0.500)
Br (0.000, 0.000, 0.000)
Ni (0.500, 0.500, 0.000)



3.
The following is a GGA-PBE calculation of a geometry-optimized LaTb4 structure, from the Alexandria database.

**Energy relative to the lowest polymorph listed for this composition**: 0.000 eV per formula unit
**M_tot**: 0.000 μB per cell
**Crystal system**: monoclinic
**E**: -23.4 eV/f.u.
**Formation enthalpy at 0 K**: 16.1 meV/atom

Cell lengths 3.598, 3.598, 14.785 Å; angles 83.13, 83.13, 60.03 degrees
Sites, in units of the cell vectors:
Tb (0.800, 0.800, 0.599)
Tb (0.401, 0.401, 0.795)
La (0.000, 0.000, 0.000)
Tb (0.599, 0.599, 0.205)
Tb (0.200, 0.200, 0.401)



4.
The following is a GGA-PBE calculation of a geometry-optimized TaCdRh structure, from the Alexandria database.

**M_tot**: 0.000 μB per cell
**Crystal system**: orthorhombic
**E**: -20.3 eV/f.u.
**Formation enthalpy at 0 K**: -72.2 meV/atom

Cell lengths 5.046, 5.046, 5.046 Å; angles 146.32, 133.42, 58.70 degrees
Sites, in units of the cell vectors:
Ta (0.324, 0.324, 0.000)
Rh (0.674, 0.674, 0.000)
Cd (0.003, 0.003, 0.000)



5.
The following is a GGA-PBE calculation of a geometry-optimized Ti2Co3Pt3 structure, from the Alexandria database.

**M_tot**: 2.344 μB per cell
**Crystal system**: orthorhombic
**E**: -60.3 eV/f.u.
**Formation enthalpy at 0 K**: -628.2 meV/atom

Cell lengths 3.777, 3.810, 7.526 Å; angles 90.00, 90.00, 90.00 degrees
Sites, in units of the cell vectors:
Pt (0.500, 0.500, 0.259)
Ti (0.000, 0.000, 0.263)
Co (0.000, 0.500, 0.500)
Co (0.500, 0.000, 0.500)
Pt (0.500, 0.000, 0.000)
Pt (0.500, 0.500, 0.741)
Co (0.000, 0.500, 0.000)
Ti (0.000, 0.000, 0.737)



6.
The following is a GGA-PBE calculation of a geometry-optimized Ba2AgSn2 structure, from the Alexandria database.

**Energy relative to the lowest polymorph listed for this composition**: 1.810 eV per formula unit
**M_tot**: 0.000 μB per cell
**Crystal system**: tetragonal
**E**: -15.7 eV/f.u.
**Formation enthalpy at 0 K**: -194.4 meV/atom

Cell lengths 6.874, 6.874, 6.476 Å; angles 57.95, 57.95, 90.00 degrees
Sites, in units of the cell vectors:
Sn (0.333, 0.333, 0.334)
Sn (0.667, 0.667, 0.666)
Ag (0.000, 0.000, 0.000)
Ba (0.750, 0.250, 0.500)
Ba (0.250, 0.750, 0.500)



7.
The following is a GGA-PBE calculation of a geometry-optimized Na2Sn2W structure, from the Alexandria database.

**Energy relative to the lowest polymorph listed for this composition**: 0.755 eV per formula unit
**M_tot**: 0.000 μB per cell
**Crystal system**: tetragonal
**E**: -20.0 eV/f.u.
**Formation enthalpy at 0 K**: 727.3 meV/atom

Cell lengths 8.010, 8.010, 3.449 Å; angles 90.00, 90.00, 90.00 degrees
Sites, in units of the cell vectors:
Sn (0.174, 0.326, 0.000)
Sn (0.326, 0.826, 0.000)
Na (0.630, 0.870, 0.500)
W (0.500, 0.500, 0.000)
Na (0.370, 0.130, 0.500)
Na (0.870, 0.370, 0.500)
W (0.000, 0.000, 0.000)
Sn (0.674, 0.174, 0.000)
Na (0.130, 0.630, 0.500)
Sn (0.826, 0.674, 0.000)



8.
The following is a GGA-PBE calculation of a geometry-optimized AgGeCl4 structure, from the Alexandria database.

**M_tot**: 2.068 μB per cell
**Crystal system**: monoclinic
**E**: -18.3 eV/f.u.
**Energy relative to the elements, uncorrected**: -0.573 eV per atom

Cell lengths 6.813, 6.813, 8.163 Å; angles 88.31, 88.31, 67.60 degrees
Sites, in units of the cell vectors:
Cl (0.737, 0.251, 0.536)
Ag (0.000, 0.500, 0.000)
Cl (0.251, 0.737, 0.036)
Cl (0.796, 0.787, 0.762)
Ge (0.065, 0.935, 0.250)
Cl (0.787, 0.796, 0.262)
Cl (0.749, 0.263, 0.964)
Cl (0.263, 0.749, 0.464)
Ag (0.500, 0.000, 0.500)
Cl (0.204, 0.213, 0.238)
Cl (0.213, 0.204, 0.738)
Ge (0.935, 0.065, 0.750)



9.
The following is a GGA-PBE calculation of a geometry-optimized Nd6SmTm3 structure, from the Alexandria database.

**Energy relative to the lowest polymorph listed for this composition**: 0.000 eV per formula unit
**M_tot**: 0.000 μB per cell
**Crystal system**: orthorhombic
**E**: -45.5 eV/f.u.
**Formation enthalpy at 0 K**: 127.9 meV/atom

Cell lengths 6.458, 11.778, 11.778 Å; angles 130.74, 90.00, 90.00 degrees
Sites, in units of the cell vectors:
Nd (0.299, 0.985, 0.015)
Nd (0.825, 0.893, 0.455)
Nd (0.825, 0.545, 0.107)
Nd (0.800, 0.301, 0.699)
Tm (0.488, 0.294, 0.042)
Nd (0.577, 0.620, 0.738)
Tm (0.488, 0.958, 0.706)
Tm (0.597, 0.581, 0.419)
Sm (0.009, 0.157, 0.843)
Nd (0.325, 0.107, 0.545)
Nd (0.077, 0.380, 0.262)
Nd (0.799, 0.015, 0.985)
Sm (0.509, 0.843, 0.157)
Nd (0.325, 0.455, 0.893)
Tm (0.988, 0.042, 0.294)
Tm (0.988, 0.706, 0.958)
Nd (0.077, 0.738, 0.620)
Nd (0.300, 0.699, 0.301)
Tm (0.097, 0.419, 0.581)
Nd (0.577, 0.262, 0.380)



10.
The following is a GGA-PBE calculation of a geometry-optimized Y8Pt3Se3S structure, from the Alexandria database.

**M_tot**: 0.000 μB per cell
**Crystal system**: trigonal
**E**: -105.4 eV/f.u.
**Energy relative to the elements, uncorrected**: -1.400 eV per atom

Cell lengths 8.117, 8.116, 8.232 Å; angles 119.54, 90.00, 120.00 degrees
Sites, in units of the cell vectors:
Pt (0.500, 0.500, 0.500)
Y (0.751, 0.502, 0.263)
Y (0.256, 0.512, 0.268)
Y (0.249, 0.498, 0.737)
Se (0.000, 0.000, 0.000)
Pt (0.000, 0.500, 0.500)
Y (0.744, 0.488, 0.732)
Y (0.739, 0.988, 0.737)
Y (0.751, 0.012, 0.263)
Pt (0.500, 0.000, 0.500)
Se (0.500, 0.500, 0.000)
Y (0.249, 0.988, 0.737)
Se (0.000, 0.500, 0.000)
S (0.000, 0.000, 0.500)
Y (0.261, 0.012, 0.263)



11.
The following is a GGA-PBE calculation of a geometry-optimized K2PuMnSe4 structure, from the Alexandria database.

**M_tot**: 18.000 μB per cell
**Crystal system**: orthorhombic
**E**: -48.1 eV/f.u.
**Energy relative to the elements, uncorrected**: -1.053 eV per atom

Cell lengths 8.572, 8.571, 8.661 Å; angles 120.35, 120.35, 90.54 degrees
Sites, in units of the cell vectors:
Se (0.762, 0.294, 0.528)
Se (0.764, 0.736, 0.952)
K (0.500, 0.000, 0.000)
Se (0.236, 0.264, 0.452)
Se (0.764, 0.736, 0.548)
K (0.500, 0.500, 0.000)
Pu (0.000, 0.500, 0.500)
Mn (0.000, 0.000, 0.000)
Se (0.206, 0.738, 0.972)
Se (0.236, 0.264, 0.048)
Se (0.238, 0.706, 0.472)
K (0.500, 0.000, 0.500)
Mn (0.500, 0.500, 0.500)
Se (0.794, 0.262, 0.028)
Pu (0.000, 0.500, 0.000)
K (0.000, 0.000, 0.500)



12.
The following is a GGA-PBE calculation of a geometry-optimized Li3PrZn3 structure, from the Alexandria database.

**Energy relative to the lowest polymorph listed for this composition**: 0.000 eV per formula unit
**M_tot**: 0.000 μB per cell
**Crystal system**: monoclinic
**E**: -15.5 eV/f.u.
**Formation enthalpy at 0 K**: -164.8 meV/atom

Cell lengths 4.848, 8.148, 8.143 Å; angles 119.98, 90.00, 90.00 degrees
Sites, in units of the cell vectors:
Zn (0.750, 0.916, 0.398)
Zn (0.250, 0.517, 0.916)
Li (0.250, 0.021, 0.236)
Zn (0.250, 0.084, 0.602)
Zn (0.250, 0.399, 0.483)
Pr (0.750, 0.333, 0.667)
Li (0.750, 0.785, 0.020)
Li (0.250, 0.764, 0.785)
Pr (0.250, 0.667, 0.333)
Li (0.750, 0.979, 0.764)
Li (0.750, 0.236, 0.215)
Li (0.250, 0.215, 0.980)
Zn (0.750, 0.601, 0.517)
Zn (0.750, 0.483, 0.084)



Repeat the eleventh record exactly.
The following is a GGA-PBE calculation of a geometry-optimized K2PuMnSe4 structure, from the Alexandria database.

**M_tot**: 18.000 μB per cell
**Crystal system**: orthorhombic
**E**: -48.1 eV/f.u.
**Energy relative to the elements, uncorrected**: -1.053 eV per atom

Cell lengths 8.572, 8.571, 8.661 Å; angles 120.35, 120.35, 90.54 degrees
Sites, in units of the cell vectors:
Se (0.762, 0.294, 0.528)
Se (0.764, 0.736, 0.952)
K (0.500, 0.000, 0.000)
Se (0.236, 0.264, 0.452)
Se (0.764, 0.736, 0.548)
K (0.500, 0.500, 0.000)
Pu (0.000, 0.500, 0.500)
Mn (0.000, 0.000, 0.000)
Se (0.206, 0.738, 0.972)
Se (0.236, 0.264, 0.048)
Se (0.238, 0.706, 0.472)
K (0.500, 0.000, 0.500)
Mn (0.500, 0.500, 0.500)
Se (0.794, 0.262, 0.028)
Pu (0.000, 0.500, 0.000)
K (0.000, 0.000, 0.500)



Q: Look up the M_tot of the fourth one.
A: 0.000 μB per cell



Copy entry 7 word for word.
The following is a GGA-PBE calculation of a geometry-optimized Na2Sn2W structure, from the Alexandria database.

**Energy relative to the lowest polymorph listed for this composition**: 0.755 eV per formula unit
**M_tot**: 0.000 μB per cell
**Crystal system**: tetragonal
**E**: -20.0 eV/f.u.
**Formation enthalpy at 0 K**: 727.3 meV/atom

Cell lengths 8.010, 8.010, 3.449 Å; angles 90.00, 90.00, 90.00 degrees
Sites, in units of the cell vectors:
Sn (0.174, 0.326, 0.000)
Sn (0.326, 0.826, 0.000)
Na (0.630, 0.870, 0.500)
W (0.500, 0.500, 0.000)
Na (0.370, 0.130, 0.500)
Na (0.870, 0.370, 0.500)
W (0.000, 0.000, 0.000)
Sn (0.674, 0.174, 0.000)
Na (0.130, 0.630, 0.500)
Sn (0.826, 0.674, 0.000)



Q: Look up the M_tot of the eleventh one.
A: 18.000 μB per cell